Entry 1:
{"formula": "KBePt2", "functional": "PBE", "state": "relaxed", "spacegroup": "P2/m, No. 10", "rho_g_cm3": 10.915, "dft_energy_ev_per_fu": -17.9, "lattice_angstrom": [[2.8454, 0.0000, 0.0000], [0.0000, 2.8423, -0.0009], [0.0000, 2.8552, 8.2437]], "species": ["Be", "K", "Pt", "Pt"], "frac_coords": [[0.5000, 0.2500, 0.2500], [0.5000, 0.7500, 0.7500], [0.0000, 0.9250, 0.0752], [0.0000, 0.5750, 0.4248]]}

Entry 2:
{"formula": "K2BePt", "functional": "PBE", "state": "relaxed", "spacegroup": "P4/mmm, No. 123", "rho_g_cm3": 4.579, "dft_energy_ev_per_fu": -9.7, "lattice_angstrom": [[-0.9850, -4.2797, -0.0698], [4.2786, -0.9865, 0.1092], [-0.1475, -0.0526, 5.3042]], "species": ["Be", "K", "K", "Pt"], "frac_coords": [[0.5000, 0.5000, 0.7500], [0.0000, 0.0000, 0.0033], [0.0000, 0.0000, 0.4967], [0.5000, 0.5000, 0.2500]]}

Entry 3:
{"formula": "KBePt2", "functional": "PBE", "state": "relaxed", "spacegroup": "Pmmm, No. 47", "rho_g_cm3": 10.671, "dft_energy_ev_per_fu": -15.1, "lattice_angstrom": [[2.8047, 0.0000, 0.0000], [0.0000, 5.0425, 0.0000], [0.0000, 0.0000, 4.8223]], "species": ["Be", "K", "Pt", "Pt"], "frac_coords": [[0.5000, 0.0000, 0.5000], [0.0000, 0.5000, 0.5000], [0.0000, 0.0000, 0.0000], [0.5000, 0.5000, 0.0000]]}

Entry 4:
{"formula": "KBePt2", "functional": "PBE", "state": "relaxed", "spacegroup": "I4/mmm, No. 139", "rho_g_cm3": 10.634, "dft_energy_ev_per_fu": -14.9, "lattice_angstrom": [[4.8994, -0.0003, 0.0000], [1.3214, 4.7178, 0.0000], [-3.1104, -2.3588, 2.9607]], "species": ["Be", "K", "Pt", "Pt"], "frac_coords": [[0.2500, 0.7500, 0.5000], [0.7500, 0.2500, 0.5000], [0.0000, 0.0000, 0.0000], [0.5000, 0.5000, 0.0000]]}

Entry 5:
{"formula": "KBePt", "functional": "PBE", "state": "relaxed", "spacegroup": "F-43m, No. 216", "rho_g_cm3": 6.463, "dft_energy_ev_per_fu": -9.0, "lattice_angstrom": [[-0.8544, -0.3276, -4.3592], [-4.1438, -0.8411, -1.4002], [-2.3451, 3.1807, -2.0550]], "species": ["Be", "K", "Pt"], "frac_coords": [[0.7500, 0.7500, 0.7500], [0.0000, 0.0000, 0.0000], [0.5000, 0.5000, 0.5000]]}

Entry 6:
{"formula": "K2BePt", "functional": "PBE", "state": "relaxed", "spacegroup": "Imm2, No. 44", "rho_g_cm3": 4.050, "dft_energy_ev_per_fu": -11.9, "lattice_angstrom": [[-1.1305, -4.1328, -4.1545], [4.1687, -4.2319, 0.5754], [-4.2828, 2.5348, 3.2940]], "species": ["Be", "K", "K", "Pt"], "frac_coords": [[0.3498, 0.8498, 0.5000], [0.0340, 0.0340, 0.0000], [0.7159, 0.2159, 0.5000], [0.4003, 0.4003, 0.0000]]}

Entry 7:
{"formula": "K2BePt", "functional": "PBE", "state": "relaxed", "spacegroup": "Immm, No. 71", "rho_g_cm3": 5.046, "dft_energy_ev_per_fu": -9.3, "lattice_angstrom": [[-1.9640, -1.9841, 5.2458], [0.5887, -4.8387, 3.3988], [2.9075, 0.6201, 3.0601]], "species": ["Be", "K", "K", "Pt"], "frac_coords": [[0.2500, 0.2500, 0.2500], [0.0008, 0.0008, 0.9992], [0.4992, 0.4992, 0.5008], [0.7500, 0.7500, 0.7500]]}

Entry 8:
{"formula": "K2BePt", "functional": "PBE", "state": "relaxed", "spacegroup": "P4/mmm, No. 123", "rho_g_cm3": 4.751, "dft_energy_ev_per_fu": -9.1, "lattice_angstrom": [[-2.9802, 0.7048, -0.4944], [-0.8101, -2.8989, 0.7504], [-0.9637, 2.8096, 9.8136]], "species": ["Be", "K", "K", "Pt"], "frac_coords": [[0.5000, 0.5000, 0.7500], [0.0000, 0.0000, 0.0180], [0.0000, 0.0000, 0.4820], [0.5000, 0.5000, 0.2500]]}

Entry 9:
{"formula": "KBePt", "functional": "PBE", "state": "relaxed", "spacegroup": "F-43m, No. 216", "rho_g_cm3": 5.170, "dft_energy_ev_per_fu": -6.4, "lattice_angstrom": [[-1.0627, 1.1428, 4.5372], [-4.5649, 0.7323, 1.2834], [-2.2405, -3.1768, 2.8123]], "species": ["Be", "K", "Pt"], "frac_coords": [[0.5000, 0.5000, 0.5000], [0.7500, 0.7500, 0.7500], [0.0000, 0.0000, 0.0000]]}

Entry 10:
{"formula": "K2BePt", "functional": "PBE", "state": "relaxed", "spacegroup": "Pm, No. 6", "rho_g_cm3": 3.888, "dft_energy_ev_per_fu": -11.9, "lattice_angstrom": [[4.0004, 0.0000, 0.0000], [0.0000, 5.2914, 0.0111], [0.0000, 2.6418, 5.7015]], "species": ["Be", "K", "K", "Pt"], "frac_coords": [[0.5000, 0.5927, 0.6891], [0.0000, 0.9749, 0.9251], [0.5000, 0.2718, 0.3320], [0.0000, 0.6606, 0.5539]]}

Entry 11:
{"formula": "KRbBe2Pt", "functional": "PBE", "state": "relaxed", "spacegroup": "P4/mmm, No. 123", "rho_g_cm3": 4.516, "dft_energy_ev_per_fu": -14.3, "lattice_angstrom": [[-1.3711, -3.3954, -2.7754], [5.4077, -0.3109, -2.2911], [1.1760, -3.0861, 3.1945]], "species": ["Be", "Be", "K", "Rb", "Pt"], "frac_coords": [[0.0000, 0.0000, 0.5000], [0.5000, 0.0000, 0.0000], [0.0000, 0.5000, 0.0000], [0.5000, 0.5000, 0.5000], [0.0000, 0.0000, 0.0000]]}

Entry 12:
{"formula": "KBe2PtS", "functional": "PBE", "state": "relaxed", "raw_formation_energy_ev_per_atom": 0.35, "spacegroup": "P4/mmm, No. 123", "rho_g_cm3": 4.184, "dft_energy_ev_per_fu": -17.0, "lattice_angstrom": [[4.3596, 0.0000, 0.0000], [0.0000, 5.9355, 0.0000], [0.0000, 0.0000, 4.3596]], "species": ["Be", "Be", "K", "S", "Pt"], "frac_coords": [[0.0000, 0.0000, 0.5000], [0.5000, 0.0000, 0.0000], [0.0000, 0.5000, 0.0000], [0.5000, 0.5000, 0.5000], [0.0000, 0.0000, 0.0000]]}

Entry 13:
{"formula": "KSrBePt2", "functional": "PBE", "state": "relaxed", "spacegroup": "P4/mmm, No. 123", "rho_g_cm3": 8.074, "dft_energy_ev_per_fu": -18.9, "lattice_angstrom": [[4.5297, 0.0000, 0.0000], [0.0000, 5.2711, 0.0000], [0.0000, 0.0000, 4.5297]], "species": ["Sr", "K", "Pt", "Pt", "Be"], "frac_coords": [[0.0000, 0.5000, 0.0000], [0.5000, 0.5000, 0.5000], [0.0000, 0.0000, 0.5000], [0.5000, 0.0000, 0.0000], [0.0000, 0.0000, 0.0000]]}

Entry 14:
{"formula": "KBeZn2Pt", "functional": "PBE", "state": "relaxed", "spacegroup": "P4/mmm, No. 123", "rho_g_cm3": 5.692, "dft_energy_ev_per_fu": -14.3, "lattice_angstrom": [[-0.8187, 4.8483, 0.5921], [-4.1429, -0.3713, -2.6880], [-2.3238, -0.8441, 3.6981]], "species": ["Be", "Zn", "Zn", "K", "Pt"], "frac_coords": [[0.0000, 0.0000, 0.5000], [0.0000, 0.5000, 0.0000], [0.5000, 0.0000, 0.0000], [0.5000, 0.5000, 0.5000], [0.0000, 0.0000, 0.0000]]}

Entry 15:
{"formula": "KBeZn2Pt", "functional": "PBE", "state": "relaxed", "spacegroup": "P4/mmm, No. 123", "rho_g_cm3": 6.489, "dft_energy_ev_per_fu": -13.0, "lattice_angstrom": [[-2.3965, -0.7732, -3.8944], [3.5837, -1.9029, -1.8275], [-1.3478, -4.1203, 1.6474]], "species": ["Be", "Zn", "Zn", "K", "Pt"], "frac_coords": [[0.0000, 0.0000, 0.0000], [0.0000, 0.0000, 0.5000], [0.5000, 0.0000, 0.0000], [0.5000, 0.5000, 0.5000], [0.0000, 0.5000, 0.0000]]}

Entry 16:
{"formula": "K3Pu2BeS6", "functional": "PBE", "state": "relaxed", "raw_formation_energy_ev_per_atom": -1.24, "spacegroup": "C2/m, No. 12", "rho_g_cm3": 4.554, "dft_energy_ev_per_fu": -75.3, "lattice_angstrom": [[6.8191, 0.0022, -0.0020], [-3.4060, 5.9076, -0.0020], [-1.1404, -1.9746, 7.3020]], "species": ["K", "K", "K", "Pu", "Pu", "Be", "S", "S", "S", "S", "S", "S"], "frac_coords": [[0.1684, 0.8316, 0.5000], [0.8316, 0.1684, 0.5000], [0.5000, 0.5000, 0.5000], [0.3335, 0.6665, 0.0000], [0.6665, 0.3335, 0.0000], [0.0000, 0.0000, 0.0000], [0.9367, 0.6260, 0.8106], [0.7515, 0.7515, 0.1905], [0.0633, 0.3740, 0.1894], [0.6260, 0.9367, 0.8106], [0.2485, 0.2485, 0.8095], [0.3740, 0.0633, 0.1894]]}

Entry 17:
{"formula": "KPuBeSe3", "functional": "PBE", "state": "relaxed", "raw_formation_energy_ev_per_atom": -1.19, "spacegroup": "P2_1/m, No. 11", "rho_g_cm3": 5.112, "dft_energy_ev_per_fu": -36.8, "lattice_angstrom": [[4.0558, 0.0000, 0.0000], [0.0000, 9.3084, -0.1576], [0.0000, -2.6183, 9.1480]], "species": ["K", "K", "Pu", "Pu", "Be", "Be", "Se", "Se", "Se", "Se", "Se", "Se"], "frac_coords": [[0.2500, 0.1982, 0.2295], [0.7500, 0.8018, 0.7705], [0.2500, 0.6694, 0.1528], [0.7500, 0.3306, 0.8472], [0.2500, 0.0772, 0.6022], [0.7500, 0.9228, 0.3978], [0.7500, 0.8922, 0.1583], [0.2500, 0.1078, 0.8417], [0.2500, 0.8295, 0.4757], [0.7500, 0.1705, 0.5243], [0.7500, 0.4552, 0.1618], [0.2500, 0.5448, 0.8382]]}

Entry 18:
{"formula": "K4Pu3BeSe8", "functional": "PBE", "state": "relaxed", "raw_formation_energy_ev_per_atom": -1.19, "spacegroup": "C2/m, No. 12", "rho_g_cm3": 5.448, "dft_energy_ev_per_fu": -98.0, "lattice_angstrom": [[8.2935, 0.0000, 0.0000], [0.0000, 9.0113, 0.3832], [-4.1467, -4.2135, 6.0575]], "species": ["K", "K", "K", "K", "Pu", "Pu", "Pu", "Be", "Se", "Se", "Se", "Se", "Se", "Se", "Se", "Se"], "frac_coords": [[0.5000, 0.0000, 0.0000], [0.5000, 0.0000, 0.5000], [0.0000, 0.0000, 0.0000], [0.0000, 0.0000, 0.5000], [0.5000, 0.5000, 0.0000], [0.5000, 0.5000, 0.5000], [0.0000, 0.5000, 0.5000], [0.0000, 0.5000, 0.0000], [0.2049, 0.6810, 0.9695], [0.2457, 0.7119, 0.4914], [0.2648, 0.2920, 0.5296], [0.7646, 0.6810, 0.9695], [0.2354, 0.3190, 0.0305], [0.7352, 0.7080, 0.4704], [0.7543, 0.2881, 0.5086], [0.7951, 0.3190, 0.0305]]}

Entry 19:
{"formula": "KRbBe3", "functional": "PBE", "state": "relaxed", "spacegroup": "Pm-3m, No. 221", "rho_g_cm3": 1.122, "dft_energy_ev_per_fu": -3.9, "lattice_angstrom": [[6.0765, 0.0000, 0.0000], [0.0000, 6.0765, 0.0000], [0.0000, 0.0000, 6.0765]], "species": ["Be", "Be", "Be", "K", "Rb"], "frac_coords": [[0.0000, 0.5000, 0.0000], [0.0000, 0.0000, 0.5000], [0.5000, 0.0000, 0.0000], [0.5000, 0.5000, 0.5000], [0.0000, 0.0000, 0.0000]]}

Entry 20:
{"formula": "KRb3Be", "functional": "PBE", "state": "relaxed", "spacegroup": "Pm-3m, No. 221", "rho_g_cm3": 0.970, "dft_energy_ev_per_fu": -3.3, "lattice_angstrom": [[8.0471, 0.0000, 0.0000], [0.0000, 8.0471, 0.0000], [0.0000, 0.0000, 8.0471]], "species": ["Be", "K", "Rb", "Rb", "Rb"], "frac_coords": [[0.5000, 0.5000, 0.5000], [0.0000, 0.0000, 0.0000], [0.0000, 0.5000, 0.0000], [0.0000, 0.0000, 0.5000], [0.5000, 0.0000, 0.0000]]}